Entry 1:
Entry from Alexandria: a relaxed structure of Y12In3H5 (PBE-GGA).

Calculated values
Its space-group type is Ia-3d, No. 230.

abc: 13.5576 13.5576 13.5576
angles: 109.47 109.47 109.47
Fractional coordinates of all 80 atoms:
Y1 0.1924 0.0963 0.9869
Y2 0.7055 0.5961 0.1924
Y3 0.5961 0.7055 0.6924
H1 0.5000 0.5000 0.0000
H2 0.2500 0.3750 0.6250
H3 0.8750 0.6250 0.7500
Y4 0.9039 0.0963 0.6093
H4 0.5000 0.5000 0.5000
Y5 0.0963 0.9039 0.1093
Y6 0.4037 0.0131 0.3076
Y7 0.1924 0.0961 0.7055
Y8 0.5963 0.9869 0.6924
Y9 0.9039 0.8076 0.7945
Y10 0.6093 0.0131 0.2055
Y11 0.4037 0.3907 0.5961
Y12 0.4039 0.2945 0.3076
H5 0.1250 0.3750 0.2500
H6 0.7500 0.6250 0.3750
Y13 0.0963 0.1924 0.4869
Y14 0.5961 0.8907 0.4037
Y15 0.7945 0.4869 0.3907
Y16 0.9037 0.8076 0.5131
Y17 0.7055 0.1093 0.0131
H7 0.3750 0.1250 0.7500
Y18 0.4039 0.1093 0.5963
Y19 0.1093 0.7055 0.5131
Y20 0.2945 0.4039 0.8076
H8 0.0000 0.5000 0.0000
H9 0.0000 0.5000 0.5000
H10 0.6250 0.7500 0.8750
Y21 0.3076 0.5131 0.4037
Y22 0.8076 0.9039 0.2945
Y23 0.0131 0.6093 0.7055
In1 0.7500 0.8750 0.6250
H11 0.3750 0.2500 0.1250
Y24 0.3907 0.9869 0.7945
Y25 0.6093 0.5963 0.9039
In2 0.2500 0.6250 0.8750
In3 0.8750 0.1250 0.2500
H12 0.0000 0.0000 0.5000
Y26 0.0961 0.9037 0.3907
Y27 0.4869 0.7945 0.8907
In4 0.8750 0.7500 0.1250
Y28 0.5963 0.6093 0.4039
H13 0.7500 0.1250 0.8750
In5 0.6250 0.3750 0.7500
In6 0.3750 0.7500 0.6250
Y29 0.2945 0.8907 0.9869
H14 0.6250 0.8750 0.2500
Y30 0.8907 0.5961 0.9037
Y31 0.5131 0.3076 0.9037
In7 0.2500 0.1250 0.3750
Y32 0.8076 0.9037 0.0131
Y33 0.6924 0.4869 0.5963
In8 0.3750 0.6250 0.2500
Y34 0.9037 0.0961 0.8907
H15 0.5000 0.0000 0.0000
Y35 0.9869 0.5963 0.1924
Y36 0.3907 0.4037 0.0961
Y37 0.9869 0.3907 0.2945
Y38 0.2055 0.6924 0.0961
H16 0.0000 0.0000 0.0000
H17 0.5000 0.0000 0.5000
In9 0.1250 0.8750 0.7500
H18 0.2500 0.8750 0.1250
Y39 0.4869 0.6924 0.0963
H19 0.1250 0.7500 0.3750
In10 0.7500 0.3750 0.1250
Y40 0.0961 0.1924 0.2055
Y41 0.6924 0.2055 0.5961
Y42 0.3076 0.7945 0.4039
Y43 0.8907 0.2945 0.4869
Y44 0.0131 0.4037 0.8076
H20 0.8750 0.2500 0.6250
Y45 0.5131 0.2055 0.1093
Y46 0.1093 0.4039 0.0963
In11 0.6250 0.2500 0.3750
Y47 0.7945 0.3076 0.9039
In12 0.1250 0.2500 0.8750
Y48 0.2055 0.5131 0.6093

---

Entry 2:
Entry from Alexandria: a relaxed structure of Y2InH (PBE-GGA).

Calculated values
Its space-group type is R-3m, No. 166. The relative energy among the computed polymorphs is 133 meV/atom.

abc: 3.6171 3.6171 8.0306
angles: 76.98 76.98 60.00
Fractional coordinates of all 4 atoms:
Y1 0.2741 0.2741 0.1777
Y2 0.7259 0.7259 0.8223
In1 0.5000 0.5000 0.5000
H1 0.0000 0.0000 0.0000

---

Entry 3:
Entry from Alexandria: a relaxed structure of YInH (PBE-GGA).

Calculated values
Its space-group type is P2_1/c, No. 14. The relative energy among the computed polymorphs is 0 meV/atom.

abc: 6.5076 7.2652 5.6250
angles: 118.96 90.00 90.00
Fractional coordinates of all 12 atoms:
H1 0.3692 0.9304 0.0875
H2 0.6308 0.0696 0.9125
H3 0.8692 0.5696 0.9125
Y1 0.1897 0.6461 0.9341
Y2 0.3103 0.1461 0.9341
Y3 0.6897 0.8539 0.0659
In1 0.0398 0.1762 0.4450
H4 0.1308 0.4304 0.0875
In2 0.9602 0.8238 0.5550
In3 0.5398 0.3238 0.5550
In4 0.4602 0.6762 0.4450
Y4 0.8103 0.3539 0.0659

---

Entry 4:
Entry from Alexandria: a relaxed structure of Y2InH (PBE-GGA).

Calculated values
Its space-group type is Fm-3m, No. 225. The relative energy among the computed polymorphs is 427 meV/atom.

abc: 5.1143 5.1143 5.1143
angles: 60.00 60.00 60.00
Fractional coordinates of all 4 atoms:
Y1 0.2500 0.2500 0.2500
In1 0.5000 0.5000 0.5000
H1 0.0000 0.0000 0.0000
Y2 0.7500 0.7500 0.7500

---

Entry 5:
Entry from Alexandria: a relaxed structure of YInH (PBE-GGA).

Calculated values
Its space-group type is I4mm, No. 107. The relative energy among the computed polymorphs is 274 meV/atom.

abc: 3.1953 3.1953 6.2658
angles: 104.77 104.77 90.00
Fractional coordinates of all 3 atoms:
Y1 0.7295 0.7295 0.4590
H1 0.2647 0.2647 0.5294
In1 0.0058 0.0058 0.0115

---

Entry 6:
Entry from Alexandria: a relaxed structure of YIn2H (PBE-GGA).

Calculated values
Its space-group type is Fm-3m, No. 225. The relative energy among the computed polymorphs is 267 meV/atom.

abc: 5.0696 5.0696 5.0696
angles: 60.00 60.00 60.00
Fractional coordinates of all 4 atoms:
In1 0.7500 0.7500 0.7500
Y1 0.5000 0.5000 0.5000
H1 0.0000 0.0000 0.0000
In2 0.2500 0.2500 0.2500

---

Entry 7:
Entry from Alexandria: a relaxed structure of Y4In2H (PBE-GGA).

Calculated values
Its space-group type is I4/mmm, No. 139. The relative energy among the computed polymorphs is 38 meV/atom.

abc: 4.6020 4.6020 9.0338
angles: 75.24 75.24 90.00
Fractional coordinates of all 7 atoms:
Y1 0.5000 0.0000 0.0000
In1 0.3648 0.3648 0.2704
In2 0.6352 0.6352 0.7296
H1 0.0000 0.0000 0.0000
Y2 0.0000 0.5000 0.0000
Y3 0.8231 0.8231 0.3539
Y4 0.1769 0.1769 0.6461

---

Entry 8:
Entry from Alexandria: a relaxed structure of Y2InH (PBE-GGA).

Calculated values
Its space-group type is P4/nmm, No. 129. The relative energy among the computed polymorphs is 0 meV/atom.

abc: 4.5538 4.5538 8.5140
angles: 90.01 90.01 90.00
Fractional coordinates of all 8 atoms:
H1 0.7501 0.7501 0.5808
Y1 0.2500 0.7500 0.5000
Y2 0.2499 0.2499 0.1518
In1 0.2501 0.2501 0.7781
Y3 0.7501 0.7501 0.8482
Y4 0.7500 0.2500 0.5000
H2 0.2499 0.2499 0.4192
In2 0.7499 0.7499 0.2219

---

Entry 9:
Entry from Alexandria: a relaxed structure of YInH (PBE-GGA).

Calculated values
Its space-group type is P-6m2, No. 187. The relative energy among the computed polymorphs is 20 meV/atom.

abc: 5.3452 3.6146 3.6146
angles: 120.00 90.00 90.00
Fractional coordinates of all 3 atoms:
Y1 0.1666 0.0000 0.0000
In1 0.6666 0.3333 0.6667
H1 0.1668 0.6667 0.3333

---

Entry 10:
Entry from Alexandria: a relaxed structure of Y2InH (PBE-GGA).

Calculated values
Its space-group type is I-42d, No. 122. The relative energy among the computed polymorphs is 107 meV/atom.

abc: 6.9403 6.9403 6.1723
angles: 55.79 55.79 90.00
Fractional coordinates of all 8 atoms:
In1 0.7500 0.2500 0.5000
Y1 0.5242 0.1250 0.2500
Y2 0.8750 0.7742 0.7500
H1 0.2500 0.7500 0.5000
In2 0.0000 0.0000 0.0000
Y3 0.2258 0.6250 0.2500
Y4 0.3750 0.4758 0.7500
H2 0.5000 0.5000 0.0000

---

Entry 11:
Entry from Alexandria: a relaxed structure of Y4In2H (PBE-GGA).

Calculated values
Its space-group type is P2_1/m, No. 11. The relative energy among the computed polymorphs is 0 meV/atom.

abc: 6.0725 6.7721 9.4399
angles: 90.00 112.84 90.00
Fractional coordinates of all 14 atoms:
Y1 0.4630 0.9989 0.7323
Y2 0.4630 0.5011 0.7323
In1 0.6939 0.7500 0.0419
H1 0.2769 0.7500 0.1999
Y3 0.5370 0.4989 0.2677
Y4 0.1103 0.7500 0.9318
In2 0.7908 0.7500 0.5793
In3 0.3061 0.2500 0.9581
Y5 0.5370 0.0011 0.2677
H2 0.7231 0.2500 0.8001
In4 0.2092 0.2500 0.4207
Y6 0.8985 0.2500 0.6266
Y7 0.1015 0.7500 0.3734
Y8 0.8897 0.2500 0.0682

---

Entry 12:
Entry from Alexandria: a relaxed structure of Y2InH2 (PBE-GGA).

Calculated values
Its space-group type is Fddd, No. 70. The relative energy among the computed polymorphs is 104 meV/atom.

abc: 5.8618 5.8618 6.4470
angles: 104.66 104.66 116.39
Fractional coordinates of all 10 atoms:
H1 0.7456 0.4962 0.4911
In1 0.1251 0.8749 0.2500
Y1 0.4455 0.5545 0.2500
In2 0.8749 0.1251 0.7500
H2 0.4962 0.7456 0.9911
Y2 0.1962 0.8038 0.7500
Y3 0.8038 0.1962 0.2500
H3 0.5038 0.2544 0.0089
Y4 0.5545 0.4455 0.7500
H4 0.2544 0.5038 0.5089

---

no.,VASP energy (eV for the cell shown)
1,-431.51
2,-20.41
3,-55.98
4,-19.24
5,-13.17
6,-13.81
7,-37.51
8,-41.90
9,-13.94
10,-41.04
11,-75.54
12,-50.35